Compound: Ta2NiP
Source: the Alexandria database
Functional: GGA-PBEsol
Structure: relaxed

```
Ta2NiP
1.0
3.992 0.000 0.000
0.000 3.992 0.000
0.000 0.000 7.106
Ta Ni P
4 2 2
Direct
0.000 0.500 0.250 Ta
0.000 0.500 0.750 Ta
0.500 0.000 0.250 Ta
0.500 0.000 0.750 Ta
0.000 0.000 0.000 Ni
0.500 0.500 0.500 Ni
0.000 0.000 0.500 P
0.500 0.500 0.000 P
```

Values from the calculation:
Space-group type: No. 139
Total energy in eV per atom: -9.573
M_tot in μB/f.u.: 0.00
ΔH_f (0 K) in eV/atom: -0.311

***

Compound: BeSb2Se
Source: the Alexandria database
Functional: GGA-PBEsol
Structure: relaxed

```
BeSb2Se
1.0
4.724 0.000 0.000
0.000 4.724 0.000
0.000 0.000 7.426
Be Sb Se
2 4 2
Direct
0.000 0.000 0.000 Be
0.500 0.500 0.500 Be
0.000 0.500 0.250 Sb
0.000 0.500 0.750 Sb
0.500 0.000 0.250 Sb
0.500 0.000 0.750 Sb
0.000 0.000 0.500 Se
0.500 0.500 0.000 Se
```

Values from the calculation:
E_form (uncorrected) in eV/atom: 0.50
Space-group type: No. 139
Total energy in eV per atom: -3.737
M_tot in μB/f.u.: 0.00

***

Compound: BaAl2CoAu
Source: the Alexandria database
Functional: GGA-PBEsol
Structure: relaxed

```
BaAl2CoAu
1.0
4.582 0.000 0.000
0.000 4.582 0.000
0.000 0.000 5.471
Ba Al Co Au
1 2 1 1
Direct
0.000 0.000 0.000 Ba
0.000 0.500 0.500 Al
0.500 0.000 0.500 Al
0.000 0.000 0.500 Co
0.500 0.500 0.000 Au
```

Values from the calculation:
Space-group type: No. 123
Total energy in eV per atom: -4.405
M_tot in μB/f.u.: 0.00
ΔH_f (0 K) in eV/atom: -0.006

***

Compound: CoI2O2
Source: the Alexandria database
Functional: GGA-PBEsol
Structure: relaxed

```
CoI2O2
1.0
3.963 0.000 0.000
0.000 3.963 0.000
0.000 0.000 7.541
Co I O
1 2 2
Direct
0.000 0.000 0.000 Co
0.500 0.500 0.000 I
0.500 0.500 0.500 I
0.000 0.500 0.500 O
0.500 0.000 0.500 O
```

Values from the calculation:
E_form (uncorrected) in eV/atom: 0.43
Space-group type: No. 123
Total energy in eV per atom: -3.920
M_tot in μB/f.u.: 2.19

***

Compound: Ce2ZrSe5
Source: the Alexandria database
Functional: GGA-PBEsol
Structure: relaxed

```
Ce2ZrSe5
1.0
11.573 0.000 0.000
0.000 8.402 0.000
0.000 0.000 7.509
Ce Zr Se
8 4 20
Direct
0.172 0.001 0.063 Ce
0.172 0.499 0.063 Ce
0.328 0.501 0.563 Ce
0.328 0.999 0.563 Ce
0.672 0.001 0.437 Ce
0.672 0.499 0.437 Ce
0.828 0.501 0.937 Ce
0.828 0.999 0.937 Ce
0.011 0.750 0.578 Zr
0.489 0.250 0.078 Zr
0.511 0.750 0.922 Zr
0.989 0.250 0.422 Zr
0.004 0.750 0.950 Se
0.074 0.040 0.684 Se
0.074 0.460 0.684 Se
0.196 0.750 0.355 Se
0.215 0.250 0.339 Se
0.285 0.750 0.839 Se
0.304 0.250 0.855 Se
0.426 0.540 0.184 Se
0.426 0.960 0.184 Se
0.496 0.250 0.450 Se
0.504 0.750 0.550 Se
0.574 0.040 0.816 Se
0.574 0.460 0.816 Se
0.696 0.750 0.145 Se
0.715 0.250 0.161 Se
0.785 0.750 0.661 Se
0.804 0.250 0.645 Se
0.926 0.540 0.316 Se
0.926 0.960 0.316 Se
0.996 0.250 0.050 Se
```

Values from the calculation:
E_form (uncorrected) in eV/atom: -1.66
Space-group type: No. 62
Total energy in eV per atom: -6.851
M_tot in μB/f.u.: 2.03

***

Compound: Ca2Sn2Os
Source: the Alexandria database
Functional: GGA-PBEsol
Structure: relaxed

```
Ca2Sn2Os
1.0
3.889 0.000 0.000
0.000 3.889 0.000
0.000 0.000 17.567
Ca Sn Os
4 4 2
Direct
0.000 0.000 0.088 Ca
0.000 0.000 0.912 Ca
0.500 0.500 0.412 Ca
0.500 0.500 0.588 Ca
0.000 0.500 0.250 Sn
0.000 0.500 0.750 Sn
0.500 0.000 0.250 Sn
0.500 0.000 0.750 Sn
0.000 0.000 0.500 Os
0.500 0.500 0.000 Os
```

Values from the calculation:
Space-group type: No. 139
Total energy in eV per atom: -4.477
M_tot in μB/f.u.: 0.48
ΔH_f (0 K) in eV/atom: 0.523